--- a ---
Here is a relaxed structure of MnH4NCl3 from the Alexandria database. Energies are from PBE.

Computed properties:
**Spin magnetization**: 5.00 μB/f.u.

Cell: 7.3047 6.3910 14.6720 Å, 89.86 119.74 89.96°
Last column: nearest neighbours and their distance in Å.
Element x y z (fractional)
H 0.2136 0.6122 0.3934  1 N 1.03
Cl 0.7606 0.3547 0.8765  1 H 2.21
Cl 0.6310 0.3511 0.6164  1 H 2.22
H 0.3412 0.3104 0.9620  1 N 1.04
Cl 0.7620 0.3501 0.3763  1 H 2.21
H 0.8750 0.5960 0.0560  1 N 1.03
H 0.0155 0.8996 0.5618  1 N 1.04
Mn 0.5441 0.6041 0.2247  6 Cl 2.54-2.57
N 0.2130 0.4510 0.3931  4 H 1.03-1.04
H 0.0145 0.8088 0.0606  1 N 1.04
Mn 0.5433 0.6027 0.7248  6 Cl 2.54-2.56
Mn 0.5441 0.1041 0.2247  6 Cl 2.54-2.56
Cl 0.4580 0.8516 0.3336  1 H 2.22
H 0.0716 0.3073 0.8879  1 N 1.04
H 0.3426 0.3988 0.4625  1 N 1.04
H 0.7459 0.8983 0.4876  1 N 1.04
Mn 0.5433 0.1027 0.7248  6 Cl 2.54-2.57
H 0.8647 0.8084 0.1207  1 N 1.04
H 0.8737 0.1112 0.5566  1 N 1.03
N 0.8748 0.7572 0.0560  4 H 1.03-1.04
H 0.2229 0.4001 0.3283  1 N 1.04
H 0.2148 0.0962 0.8940  1 N 1.03
Cl 0.2404 0.3557 0.1827  1 H 2.22
Cl 0.3259 0.8584 0.0731  1 H 2.21
Cl 0.3261 0.8508 0.5730  1 H 2.21
Cl 0.8471 0.8530 0.7674  1 H 2.22
H 0.0729 0.4000 0.3883  1 N 1.04
Cl 0.8475 0.8528 0.2665  1 H 2.22
Cl 0.4552 0.8544 0.8330  1 H 2.21
Cl 0.6301 0.3569 0.1158  1 H 2.22
H 0.8655 0.8981 0.6218  1 N 1.04
Cl 0.2395 0.3525 0.6822  1 H 2.22
H 0.7447 0.8086 0.9865  1 N 1.04
H 0.2213 0.3086 0.8277  1 N 1.04
N 0.8752 0.9500 0.5570  4 H 1.03-1.04
N 0.2121 0.2574 0.8928  4 H 1.03-1.04

***

--- b ---
Here is a relaxed structure of MnH4NCl3 from the Alexandria database. Energies are from PBE.

Computed properties:
**Spin magnetization**: 5.00 μB/f.u.
**Density of states at the Fermi level**: 0.00 states/eV/cell

Cell: 3.8831 9.2233 15.0197 Å, 90.00 90.00 90.00°
Last column: nearest neighbours and their distance in Å.
Element x y z (fractional)
H 0.4607 0.8855 0.7085  1 N 1.04
Cl 0.2500 0.5223 0.5951  3 Mn 2.56-2.64
N 0.7500 0.0636 0.3207  4 H 1.03-1.04
Mn 0.2500 0.1588 0.0531  6 Cl 2.47-2.64
N 0.2500 0.9364 0.6793  4 H 1.03-1.04
Cl 0.7500 0.8181 0.4993  2 Mn 2.56, 2 H 2.74
H 0.7500 0.5786 0.1114  1 N 1.03
H 0.9607 0.1145 0.2915  1 N 1.04
H 0.7500 0.0786 0.3886  1 N 1.03
H 0.0393 0.8855 0.7085  1 N 1.04
Cl 0.7500 0.7385 0.7954  2 H 2.19
N 0.2500 0.4364 0.8207  4 H 1.03-1.04
H 0.7500 0.9540 0.3065  1 N 1.03
Mn 0.2500 0.6588 0.4469  6 Cl 2.47-2.64
H 0.2500 0.4214 0.8886  1 N 1.03
H 0.0393 0.3855 0.7915  1 N 1.04
H 0.5393 0.1145 0.2915  1 N 1.04
H 0.9607 0.6145 0.2085  1 N 1.04
N 0.7500 0.5636 0.1793  4 H 1.03-1.04
H 0.2500 0.0460 0.6935  1 N 1.03
H 0.2500 0.9214 0.6114  1 N 1.03
H 0.7500 0.4540 0.1935  1 N 1.03
Cl 0.2500 0.0223 0.9049  3 Mn 2.56-2.64
H 0.2500 0.5460 0.8065  1 N 1.03
Cl 0.2500 0.2615 0.2046  2 H 2.19
Cl 0.7500 0.9777 0.0951  3 Mn 2.56-2.64
Mn 0.7500 0.3412 0.5531  6 Cl 2.47-2.64
Cl 0.2500 0.7615 0.2954  2 H 2.19
Cl 0.7500 0.3181 0.0007  2 Mn 2.56, 2 H 2.74
Cl 0.7500 0.4777 0.4049  3 Mn 2.56-2.64
Mn 0.7500 0.8412 0.9469  6 Cl 2.47-2.64
Cl 0.2500 0.1819 0.5007  2 Mn 2.56, 2 H 2.74
Cl 0.2500 0.6819 0.9993  2 Mn 2.56, 2 H 2.74
Cl 0.7500 0.2385 0.7046  2 H 2.19
H 0.4607 0.3855 0.7915  1 N 1.04
H 0.5393 0.6145 0.2085  1 N 1.04

***

Name the least stable of them. b.

***

--- a ---
Here is a relaxed structure of MnPHCl2 from the Alexandria database. Energies are from PBE.

Computed properties:
**Spin magnetization**: 4.35 μB/f.u.
**Density of states at the Fermi level**: 3.65 states/eV/cell

Cell: 4.9617 4.9617 3.2660 Å, 90.00 90.00 90.00°
Last column: nearest neighbours and their distance in Å.
Element x y z (fractional)
H 0.0000 0.0000 0.0000  2 P 1.63
Mn 0.5000 0.5000 0.5000  8 Cl 2.97, 2 Mn 3.27
Cl 0.5000 0.0000 0.0000  2 H 2.48
P 0.0000 0.0000 0.5000  2 H 1.63
Cl 0.0000 0.5000 0.0000  2 H 2.48

***

--- b ---
Here is a relaxed structure of MnPHCl2 from the Alexandria database. Energies are from PBE.

Computed properties:
**Spin magnetization**: 3.01 μB/f.u.
**Density of states at the Fermi level**: 0.96 states/eV/cell

Cell: 4.8288 4.8288 4.6342 Å, 90.00 90.00 90.00°
Last column: nearest neighbours and their distance in Å.
Element x y z (fractional)
Mn 0.0000 0.0000 0.0000  2 P 2.32, 4 Cl 2.41
P 0.0000 0.0000 0.5000  2 Mn 2.32
Cl 0.5000 0.0000 0.0000  2 Mn 2.41
Cl 0.0000 0.5000 0.0000  2 Mn 2.41
H 0.5000 0.5000 0.5000  8 Cl 3.35, 4 P 3.41

***

Name the least stable of them. a.

***

--- a ---
Here is a relaxed structure of MnP2HCl from the Alexandria database. Energies are from PBE.

Computed properties:
**Spin magnetization**: 0.06 μB/f.u.
**Density of states at the Fermi level**: 4.00 states/eV/cell

Cell: 3.5985 3.5985 4.9925 Å, 90.00 90.00 90.00°
Last column: nearest neighbours and their distance in Å.
Element x y z (fractional)
H 0.0000 0.0000 0.0000  4 P 1.80
P 0.0000 0.5000 0.0000  2 H 1.80
P 0.5000 0.0000 0.0000  2 H 1.80
Mn 0.5000 0.5000 0.5000  4 Cl 2.54
Cl 0.0000 0.0000 0.5000  2 H 2.50, 4 Mn 2.54

***

--- b ---
Here is a relaxed structure of MnP2HCl from the Alexandria database. Energies are from PBE.

Computed properties:
**Spin magnetization**: 0.98 μB/f.u.
**Density of states at the Fermi level**: 3.90 states/eV/cell

Cell: 4.2369 4.2369 5.1258 Å, 90.00 90.00 90.00°
Last column: nearest neighbours and their distance in Å.
Element x y z (fractional)
Mn 0.0000 0.0000 0.0000  4 P 2.12
H 0.5000 0.5000 0.5000  4 Cl 3.00, 8 P 3.33
P 0.0000 0.5000 0.0000  2 Mn 2.12
Cl 0.0000 0.0000 0.5000  2 Mn 2.56
P 0.5000 0.0000 0.0000  2 Mn 2.12

***

Name the least stable of them. a.